Below is an optimized crystal structure of ErTmTlIn, with properties calculated at the GGA-PBE level.

Calculated formation energy ... -366 meV per atom
M_tot ... 0.000 μB/atom
Electronic total energy ... -62.4 eV per cell

abc: 7.4904 7.4904 7.4904
angles: 90.00 90.00 90.00
With the nearest neighbours (Å) after each atom.
Space group F-43m (No. 216)
Inequivalent atoms, fractional coordinates:
Er: 0.0000 0.0000 0.0000 [4 per cell]  4 In 3.24, 4 Tl 3.24
Tm: 0.0000 0.0000 0.5000 [4 per cell]  4 Tl 3.24, 4 In 3.24
Tl: 0.2500 0.2500 0.7500 [4 per cell]  4 Er 3.24, 4 Tm 3.24
In: 0.2500 0.2500 0.2500 [4 per cell]  4 Tm 3.24, 4 Er 3.24



Below is an optimized crystal structure of ErTm5TlIn2, with properties calculated at the GGA-PBE level.

Calculated formation energy ... -5 meV per atom
M_tot ... 0.000 μB/atom
Electronic total energy ... -139.3 eV per cell

abc: 8.3826 8.3826 14.4718
angles: 90.00 90.00 90.00
With the nearest neighbours (Å) after each atom.
Space group I4/mcm (No. 140)
Inequivalent atoms, fractional coordinates:
Er: 0.0000 0.5000 0.2500 [4 per cell]  4 Tm 3.02
Tm: 0.0000 0.0000 0.0000 [4 per cell]  4 In 3.39, 8 Tm 3.58, 2 Tl 3.62
Tm: 0.2119 0.2881 0.1347 [16 per cell]  1 In 2.86, 1 Er 3.02
Tl: 0.0000 0.0000 0.2500 [4 per cell]  10 Tm 3.43-3.62
In: 0.1119 0.3881 0.5000 [8 per cell]  1 In 2.65, 2 Tm 2.86



Below is an optimized crystal structure of ErTm5Tl2In, with properties calculated at the GGA-PBE level.

Calculated formation energy ... 22 meV per atom
M_tot ... 0.000 μB/atom
Electronic total energy ... -136.8 eV per cell

abc: 7.5356 7.5356 18.4692
angles: 90.00 90.00 90.00
With the nearest neighbours (Å) after each atom.
Space group I4/mcm (No. 140)
Inequivalent atoms, fractional coordinates:
Er: 0.0000 0.5000 0.2500 [4 per cell]  4 Tm 3.13
Tm: 0.0000 0.0000 0.0000 [4 per cell]  4 Tl 2.96
Tm: 0.2110 0.2890 0.1324 [16 per cell]  1 Tl 2.98, 1 Er 3.13
Tl: 0.1293 0.3707 0.5000 [8 per cell]  1 Tl 2.76, 4 Tm 2.96-2.98
In: 0.0000 0.0000 0.2500 [4 per cell]  8 Tm 3.46, 4 Er 3.77



Look up the M_tot of the first one. 0.000 μB/atom